# 1
Here is a relaxed Li2Cd6Ag3 crystal from Alexandria. Energies are from GGA-PBE.

Output
Total magnetic moment (μB per formula unit): 0.0
Electronic total energy (eV/cell): -19.36
Symmetry: P-1, No. 2

Cell lengths 4.2390, 9.1072, 13.8693 Å; angles 32.85, 81.12, 103.30 degrees
Closest atoms and distances in Å follow each position.
Positions (direct):
Li 0.2802 0.6472 0.0847  8 Cd 2.86-3.15, 4 Ag 2.93-3.01
Li 0.7198 0.3528 0.9153  8 Cd 2.86-3.15, 4 Ag 2.93-3.01
Cd 0.4552 0.7296 0.8169  3 Ag 2.96-3.00, 6 Cd 2.99-3.13, 3 Li 3.02-3.04
Cd 0.8831 0.4225 0.6528  2 Li 2.86-3.04, 6 Ag 2.95-3.11, 4 Cd 2.99-3.13
Cd 0.5448 0.2704 0.1831  3 Ag 2.96-3.00, 6 Cd 2.99-3.13, 3 Li 3.02-3.04
Cd 0.1169 0.5775 0.3472  2 Li 2.86-3.04, 6 Ag 2.95-3.11, 4 Cd 2.99-3.13
Cd 0.6158 0.7924 0.5626  2 Ag 2.93-3.08, 3 Li 2.95-3.15, 7 Cd 2.99-3.08
Cd 0.3842 0.2076 0.4374  2 Ag 2.93-3.08, 3 Li 2.95-3.15, 7 Cd 2.99-3.08
Ag 0.0000 0.0000 0.0000  6 Cd 2.93-2.95, 4 Li 2.99-3.01, 2 Ag 3.00
Ag 0.8349 0.9284 0.2605  2 Li 2.93-2.94, 8 Cd 2.96-3.11, 2 Ag 3.00-3.16
Ag 0.1651 0.0716 0.7395  2 Li 2.93-2.94, 8 Cd 2.96-3.11, 2 Ag 3.00-3.16

# 2
Here is a relaxed Li6Cd3Ag2 crystal from Alexandria. Energies are from GGA-PBE.

Output
Total magnetic moment (μB per formula unit): 0.0
Electronic total energy (eV/cell): -21.85
Symmetry: Cmmm, No. 65

Cell lengths 2.9900, 9.0545, 9.0548 Å; angles 56.74, 90.00, 90.00 degrees
Closest atoms and distances in Å follow each position.
Positions (direct):
Li 0.5000 0.4178 0.4179  3 Li 2.62-2.80, 4 Ag 2.72, 2 Cd 2.79
Li 0.5000 0.5822 0.5821  3 Li 2.62-2.80, 4 Ag 2.72, 2 Cd 2.79
Li 0.5000 0.9506 0.3580  3 Li 2.80-2.99, 3 Cd 2.95-3.02, 2 Ag 2.96
Li 0.5000 0.0494 0.6420  3 Li 2.80-2.99, 3 Cd 2.95-3.02, 2 Ag 2.96
Li 0.5000 0.3581 0.9505  3 Li 2.80-2.99, 3 Cd 2.95-3.02, 2 Ag 2.96
Li 0.5000 0.6419 0.0495  3 Li 2.80-2.99, 3 Cd 2.95-3.02, 2 Ag 2.96
Cd 0.0000 0.2704 0.2703  6 Li 2.79-2.95, 2 Cd 2.99
Cd 0.0000 0.7296 0.7297  6 Li 2.79-2.95, 2 Cd 2.99
Cd 0.5000 0.0000 0.0000  4 Ag 2.86, 2 Cd 2.99, 4 Li 3.02
Ag 0.0000 0.2838 0.7163  8 Li 2.72-2.96, 2 Cd 2.86, 2 Ag 2.99
Ag 0.0000 0.7162 0.2837  8 Li 2.72-2.96, 2 Cd 2.86, 2 Ag 2.99

# 3
Here is a relaxed Li6CdAg2 crystal from Alexandria. Energies are from GGA-PBE.

Output
Total magnetic moment (μB per formula unit): 0.0
Electronic total energy (eV/cell): -19.57
Symmetry: C2/m, No. 12

Cell lengths 2.8389, 7.8768, 7.8768 Å; angles 59.91, 88.28, 88.28 degrees
Closest atoms and distances in Å follow each position.
Positions (direct):
Li 0.4825 0.0000 0.3376  5 Li 2.56-2.84
Li 0.5175 0.0000 0.6624  5 Li 2.56-2.84
Li 0.5175 0.6624 0.0000  5 Li 2.56-2.84
Li 0.5000 0.3374 0.6626  5 Li 2.56-2.84
Li 0.5000 0.6626 0.3374  5 Li 2.56-2.84
Li 0.4825 0.3376 0.0000  5 Li 2.56-2.84
Cd 0.0000 0.0000 0.0000  2 Cd 2.84, 12 Li 3.00-3.03
Ag 0.0003 0.3336 0.3336  2 Ag 2.84, 12 Li 2.91-3.04
Ag 0.9997 0.6664 0.6664  2 Ag 2.84, 12 Li 2.91-3.04

# 4
Here is a relaxed LiCd2Ag2 crystal from Alexandria. Energies are from GGA-PBE.

Output
Total magnetic moment (μB per formula unit): 0.0
Electronic total energy (eV/cell): -19.77
Symmetry: P4/mbm, No. 127

Cell lengths 8.1100, 8.1100, 3.1171 Å; angles 90.00, 90.00, 90.00 degrees
Closest atoms and distances in Å follow each position.
Positions (direct):
Li 0.0000 0.0000 0.0000  2 Li 3.12, 4 Ag 3.18, 8 Cd 3.39
Li 0.5000 0.5000 0.0000  2 Li 3.12, 4 Ag 3.18, 8 Cd 3.39
Ag 0.3709 0.8709 0.0000  6 Cd 2.79-2.90, 3 Ag 2.96-3.12
Ag 0.8709 0.6291 0.0000  6 Cd 2.79-2.90, 3 Ag 2.96-3.12
Ag 0.6291 0.1291 0.0000  6 Cd 2.79-2.90, 3 Ag 2.96-3.12
Ag 0.1291 0.3709 0.0000  6 Cd 2.79-2.90, 3 Ag 2.96-3.12
Cd 0.1695 0.6695 0.5000  6 Ag 2.79-2.90, 2 Cd 3.12
Cd 0.6695 0.8305 0.5000  6 Ag 2.79-2.90, 2 Cd 3.12
Cd 0.8305 0.3305 0.5000  6 Ag 2.79-2.90, 2 Cd 3.12
Cd 0.3305 0.1695 0.5000  6 Ag 2.79-2.90, 2 Cd 3.12

| no. | formation enthalpy at 0 K (eV/atom) |
| --- | --- |
| 1 | -0.14 |
| 2 | -0.17 |
| 3 | -0.16 |
| 4 | -0.09 |